No. 1
Density functional theory data (PBE) for crystalline KSiF2 at its relaxed geometry.

Lattice parameters (Å, degrees): 5.0867 5.0867 13.3059 90.00 90.00 90.00
Space group I-42d (No. 122)
Unique sites:
K (0.0000, 0.0000, 0.0000) x4
Si (0.0000, 0.0000, 0.5000) x4
F (0.1624, 0.2500, 0.6250) x8

Computed properties:
* calculated volume: 344.3 Å³ per cell
* DOS at the Fermi energy: 0.290 states/eV per atom
* E: -3.95 eV per atom
* formation energy (no corrections): -1.3838 eV per atom

No. 2
Density functional theory data (PBE) for crystalline KSi2F2 at its relaxed geometry.

Lattice parameters (Å, degrees): 3.4253 3.4253 14.3735 90.00 90.00 90.00
Space group I4/mmm (No. 139)
Unique sites:
K (0.0000, 0.0000, 0.0000) x2
Si (0.0000, 0.5000, 0.2500) x4
F (0.0000, 0.0000, 0.3961) x4

Computed properties:
* calculated volume: 168.6 Å³ per cell
* DOS at the Fermi energy: 0.328 states/eV per atom
* E: -4.33 eV per atom
* formation energy (no corrections): -1.1953 eV per atom

No. 3
Density functional theory data (PBE) for crystalline KSi2F at its relaxed geometry.

Lattice parameters (Å, degrees): 6.9826 6.9826 6.9826 90.00 90.00 90.00
Space group Fm-3m (No. 225)
Unique sites:
K (0.0000, 0.0000, 0.0000) x4
Si (0.2500, 0.2500, 0.2500) x8
F (0.0000, 0.0000, 0.5000) x4

Computed properties:
* calculated volume: 340.4 Å³ per cell
* DOS at the Fermi energy: 0.606 states/eV per atom
* E: -2.86 eV per atom
* formation energy (no corrections): 0.5930 eV per atom

No. 4
Density functional theory data (PBE) for crystalline K2SiF6 at its relaxed geometry.

Lattice parameters (Å, degrees): 5.7267 5.7267 9.3972 90.00 90.00 120.00
Space group P6_3mc (No. 186)
Unique sites:
K (0.0000, 0.0000, 0.0000) x2
K (0.3333, 0.6667, 0.2794) x2
Si (0.3333, 0.6667, 0.6632) x2
F (0.0512, 0.5256, 0.5561) x6
F (0.1900, 0.3801, 0.7662) x6

Computed properties:
* calculated volume: 266.9 Å³ per cell
* DOS at the Fermi energy: 0.000 states/eV per atom
* E: -5.24 eV per atom
* formation energy (no corrections): -3.1461 eV per atom

No. 5
Density functional theory data (PBE) for crystalline KSi2F at its relaxed geometry.

Lattice parameters (Å, degrees): 3.4814 3.4814 28.6076 90.00 90.00 90.00
Space group I-42d (No. 122)
Unique sites:
K (0.0000, 0.0000, 0.0000) x4
Si (0.2472, 0.7500, 0.1250) x8
F (0.0000, 0.0000, 0.5000) x4

Computed properties:
* calculated volume: 346.7 Å³ per cell
* DOS at the Fermi energy: 0.283 states/eV per atom
* E: -4.25 eV per atom
* formation energy (no corrections): -0.7977 eV per atom

No. 6
Density functional theory data (PBE) for crystalline KSiF2 at its relaxed geometry.

Lattice parameters (Å, degrees): 3.3779 3.3779 21.4485 90.00 90.00 120.00
Space group R-3m (No. 166, hexagonal axes)
Unique sites:
K (0.0000, 0.0000, 0.0000) x3
Si (0.0000, 0.0000, 0.5000) x3
F (0.0000, 0.0000, 0.4105) x6

Computed properties:
* calculated volume: 211.9 Å³ per cell
* DOS at the Fermi energy: 0.139 states/eV per atom
* E: -4.41 eV per atom
* formation energy (no corrections): -1.8431 eV per atom